! NdHgPtAu GGA-PBE relaxed; values from VASP
&SYSTEM
  ibrav = 0, nat = 4, ntyp = 4
/
ATOMIC_SPECIES
Nd 144.24 Nd.upf
Hg 200.59 Hg.upf
Pt 195.08 Pt.upf
Au 196.97 Au.upf
CELL_PARAMETERS angstrom
0.000 3.531 3.531
3.531 0.000 3.531
3.531 3.531 0.000
ATOMIC_POSITIONS crystal
Nd 0.000 0.000 0.000
Hg 0.500 0.500 0.500
Pt 0.250 0.250 0.250
Au 0.750 0.750 0.750
! Fermi-level density of states, states/eV/cell: 2.202
! Electronic total energy, eV/atom: -4.2037
! Crystal system: cubic

! LiHfNb2 GGA-PBE relaxed; values from VASP
&SYSTEM
  ibrav = 0, nat = 4, ntyp = 3
/
ATOMIC_SPECIES
Li 6.94 Li.upf
Hf 178.49 Hf.upf
Nb 92.91 Nb.upf
CELL_PARAMETERS angstrom
0.000 3.309 3.309
3.309 0.000 3.309
3.309 3.309 0.000
ATOMIC_POSITIONS crystal
Li 0.000 0.000 0.000
Hf 0.500 0.500 0.500
Nb 0.250 0.250 0.250
Nb 0.750 0.750 0.750
! Fermi-level density of states, states/eV/cell: 3.948
! Electronic total energy, eV/atom: -7.5891
! Crystal system: cubic
! Energy above the most stable polymorph in this dataset, meV/atom: 0.0

! NdDy4Tm15 GGA-PBE relaxed; values from VASP
&SYSTEM
  ibrav = 0, nat = 20, ntyp = 3
/
ATOMIC_SPECIES
Nd 144.24 Nd.upf
Dy 162.50 Dy.upf
Tm 168.93 Tm.upf
CELL_PARAMETERS angstrom
4.963 0.000 0.000
0.000 4.963 0.000
0.000 0.000 24.805
ATOMIC_POSITIONS crystal
Nd 0.000 0.000 0.000
Dy 0.000 0.000 0.201
Dy 0.000 0.000 0.400
Dy 0.000 0.000 0.600
Dy 0.000 0.000 0.799
Tm 0.000 0.500 0.102
Tm 0.000 0.500 0.301
Tm 0.000 0.500 0.500
Tm 0.000 0.500 0.699
Tm 0.000 0.500 0.898
Tm 0.500 0.000 0.102
Tm 0.500 0.000 0.301
Tm 0.500 0.000 0.500
Tm 0.500 0.000 0.699
Tm 0.500 0.000 0.898
Tm 0.500 0.500 0.000
Tm 0.500 0.500 0.201
Tm 0.500 0.500 0.400
Tm 0.500 0.500 0.600
Tm 0.500 0.500 0.799
! Fermi-level density of states, states/eV/cell: 27.365
! Electronic total energy, eV/atom: -4.4866
! Crystal system: tetragonal

! Ac2NpAl3Au12 GGA-PBE relaxed; values from VASP
&SYSTEM
  ibrav = 0, nat = 18, ntyp = 4
/
ATOMIC_SPECIES
Ac 227.00 Ac.upf
Np 237.00 Np.upf
Al 26.98 Al.upf
Au 196.97 Au.upf
CELL_PARAMETERS angstrom
3.459 1.997 10.243
-3.459 1.997 10.243
0.000 -3.994 10.243
ATOMIC_POSITIONS crystal
Ac 0.138 0.138 0.138
Ac 0.862 0.862 0.862
Np 0.500 0.500 0.500
Al 0.000 0.500 0.500
Al 0.500 0.000 0.500
Al 0.500 0.500 0.000
Au 0.068 0.626 0.626
Au 0.096 0.096 0.681
Au 0.096 0.681 0.096
Au 0.319 0.904 0.904
Au 0.374 0.374 0.932
Au 0.374 0.932 0.374
Au 0.626 0.068 0.626
Au 0.626 0.626 0.068
Au 0.681 0.096 0.096
Au 0.904 0.319 0.904
Au 0.904 0.904 0.319
Au 0.932 0.374 0.374
! Fermi-level density of states, states/eV/cell: 14.189
! Electronic total energy, eV/atom: -4.2632
! Crystal system: trigonal

! BaLiTlPb GGA-PBE relaxed; values from VASP
&SYSTEM
  ibrav = 0, nat = 4, ntyp = 4
/
ATOMIC_SPECIES
Ba 137.33 Ba.upf
Li 6.94 Li.upf
Tl 204.38 Tl.upf
Pb 207.20 Pb.upf
CELL_PARAMETERS angstrom
2.490 1.438 6.086
-2.490 1.438 6.086
0.000 -2.876 6.086
ATOMIC_POSITIONS crystal
Ba 0.000 0.000 0.000
Li 0.507 0.507 0.507
Tl 0.787 0.787 0.787
Pb 0.210 0.210 0.210
! Fermi-level density of states, states/eV/cell: 1.134
! Electronic total energy, eV/atom: -2.8993
! Crystal system: trigonal
! Energy above the most stable polymorph in this dataset, meV/atom: 0.0

! CePmWN4 GGA-PBE relaxed; values from VASP
&SYSTEM
  ibrav = 0, nat = 14, ntyp = 4
/
ATOMIC_SPECIES
Ce 140.12 Ce.upf
Pm 145.00 Pm.upf
W 183.84 W.upf
N 14.01 N.upf
CELL_PARAMETERS angstrom
2.792 -6.205 0.000
2.792 6.205 0.000
0.000 0.000 5.597
ATOMIC_POSITIONS crystal
Ce 0.102 0.898 0.750
Ce 0.898 0.102 0.250
Pm 0.392 0.608 0.750
Pm 0.608 0.392 0.250
W 0.261 0.739 0.250
W 0.739 0.261 0.750
N 0.000 0.500 0.000
N 0.000 0.500 0.500
N 0.074 0.926 0.250
N 0.419 0.581 0.250
N 0.500 0.000 0.000
N 0.500 0.000 0.500
N 0.581 0.419 0.750
N 0.926 0.074 0.750
! Fermi-level density of states, states/eV/cell: 8.588
! Electronic total energy, eV/atom: -9.2606
! Crystal system: orthorhombic